# Cd2FeTeO6 PBE+U relaxed
data_Cd2FeTeO6
_cell_length_a 5.3384
_cell_length_b 5.3384
_cell_length_c 5.0001
_cell_angle_alpha 90.00
_cell_angle_beta 90.00
_cell_angle_gamma 90.00
_space_group_name_H-M_alt 'P 4 m m'
_space_group_IT_number 99
loop_
_space_group_symop_operation_xyz
'x,y,z'
'-y,x,z'
'-x,-y,z'
'y,-x,z'
'-x,y,z'
'y,x,z'
'x,-y,z'
'-y,-x,z'
loop_
_atom_site_label
_atom_site_fract_x
_atom_site_fract_y
_atom_site_fract_z
Cd1 0.0000 0.5000 0.0000
Fe1 0.0000 0.0000 0.5621
Te1 0.5000 0.5000 0.5805
O1 0.0000 0.0000 0.1919
O2 0.2506 0.2506 0.7070
O3 0.5000 0.5000 0.1962
# Final energy: -4.955 eV per atom
# M_tot: 4.471 μB/cell